1:
## TaMnMo2 (meta-GGA SCAN)

Data for TaMnMo2 at its PBEsol-relaxed geometry. Values from VASP.

```
&SYSTEM
  ibrav = 0, nat = 8, ntyp = 3
/
ATOMIC_SPECIES
Ta 180.95 Ta.upf
Mn 54.94 Mn.upf
Mo 95.94 Mo.upf
CELL_PARAMETERS angstrom
3.097 0.000 0.000
0.000 4.333 0.000
0.000 0.000 8.751
ATOMIC_POSITIONS angstrom
Ta 0.000 0.000 0.000
Ta 1.549 2.166 4.375
Mn 0.000 0.000 4.375
Mn 1.549 2.166 0.000
Mo 0.000 2.166 2.153
Mo 0.000 2.166 6.597
Mo 1.549 0.000 2.222
Mo 1.549 0.000 6.529
```

2:
## TaMnMo2 (meta-GGA SCAN)

Data for TaMnMo2 at its PBEsol-relaxed geometry. Values from VASP.

```
&SYSTEM
  ibrav = 0, nat = 4, ntyp = 3
/
ATOMIC_SPECIES
Ta 180.95 Ta.upf
Mn 54.94 Mn.upf
Mo 95.94 Mo.upf
CELL_PARAMETERS angstrom
2.717 0.000 0.000
0.000 4.315 0.000
-0.884 0.000 5.034
ATOMIC_POSITIONS angstrom
Ta 0.000 0.000 0.000
Mn 1.808 2.157 1.216
Mo 0.048 2.157 3.710
Mo 0.918 0.000 2.481
```

Preferred: 1; penalty for the next structure: 22 meV per atom.

1:
## MnZn2Mo (meta-GGA SCAN)

Data for MnZn2Mo at its PBEsol-relaxed geometry. Values from VASP.

```
&SYSTEM
  ibrav = 0, nat = 4, ntyp = 3
/
ATOMIC_SPECIES
Mn 54.94 Mn.upf
Zn 65.41 Zn.upf
Mo 95.94 Mo.upf
CELL_PARAMETERS angstrom
2.590 0.000 0.000
0.000 4.199 0.000
-1.161 0.000 4.917
ATOMIC_POSITIONS angstrom
Mn 0.000 0.000 0.000
Zn 0.879 2.099 1.187
Zn 0.549 2.099 3.730
Mo -0.581 0.000 2.459
```

2:
## MnZn2Mo (meta-GGA SCAN)

Data for MnZn2Mo at its PBEsol-relaxed geometry. Values from VASP.

```
&SYSTEM
  ibrav = 0, nat = 8, ntyp = 3
/
ATOMIC_SPECIES
Mn 54.94 Mn.upf
Zn 65.41 Zn.upf
Mo 95.94 Mo.upf
CELL_PARAMETERS angstrom
8.617 0.000 0.000
0.000 2.594 0.000
-0.529 0.000 4.771
ATOMIC_POSITIONS angstrom
Mn 0.000 0.000 0.000
Mn 4.309 1.297 0.000
Zn -0.201 1.297 2.383
Zn 1.840 0.000 3.427
Zn 4.108 0.000 2.383
Zn 6.148 1.297 3.427
Mo 2.095 1.297 0.991
Mo 6.403 0.000 0.991
```

Preferred: 1; penalty for the next structure: 38 meV per atom.

1:
## ZrMnMo2 (meta-GGA SCAN)

Data for ZrMnMo2 at its PBEsol-relaxed geometry. Values from VASP.

```
&SYSTEM
  ibrav = 0, nat = 4, ntyp = 3
/
ATOMIC_SPECIES
Zr 91.22 Zr.upf
Mn 54.94 Mn.upf
Mo 95.94 Mo.upf
CELL_PARAMETERS angstrom
2.796 0.000 0.000
0.000 4.374 0.000
-0.935 0.000 5.008
ATOMIC_POSITIONS angstrom
Zr 0.000 0.000 0.000
Mn 0.930 0.000 2.504
Mo 0.027 2.187 3.708
Mo 1.834 2.187 1.301
```

2:
## ZrMnMo2 (meta-GGA SCAN)

Data for ZrMnMo2 at its PBEsol-relaxed geometry. Values from VASP.

```
&SYSTEM
  ibrav = 0, nat = 8, ntyp = 3
/
ATOMIC_SPECIES
Zr 91.22 Zr.upf
Mn 54.94 Mn.upf
Mo 95.94 Mo.upf
CELL_PARAMETERS angstrom
3.690 0.000 0.000
0.000 3.690 0.000
0.000 0.000 9.284
ATOMIC_POSITIONS angstrom
Zr 0.000 0.000 0.000
Zr 1.845 1.845 4.642
Mn 0.000 0.000 4.642
Mn 1.845 1.845 0.000
Mo 0.000 1.845 2.321
Mo 0.000 1.845 6.963
Mo 1.845 0.000 2.321
Mo 1.845 0.000 6.963
```

Preferred: 1; penalty for the next structure: 24 meV per atom.

1:
## ZrMn2Mo (meta-GGA SCAN)

Data for ZrMn2Mo at its PBEsol-relaxed geometry. Values from VASP.

```
&SYSTEM
  ibrav = 0, nat = 12, ntyp = 3
/
ATOMIC_SPECIES
Zr 91.22 Zr.upf
Mn 54.94 Mn.upf
Mo 95.94 Mo.upf
CELL_PARAMETERS angstrom
2.945 0.000 0.000
-1.473 2.551 0.000
0.000 0.000 23.299
ATOMIC_POSITIONS angstrom
Zr 0.000 0.000 0.000
Zr 0.000 1.701 15.532
Zr 1.473 0.850 7.766
Mn 0.000 0.000 5.669
Mn 0.000 0.000 17.630
Mn 0.000 1.701 9.863
Mn 0.000 1.701 21.201
Mn 1.473 0.850 2.097
Mn 1.473 0.850 13.435
Mo 0.000 0.000 11.649
Mo 0.000 1.701 3.883
Mo 1.473 0.850 19.415
```

2:
## ZrMn2Mo (meta-GGA SCAN)

Data for ZrMn2Mo at its PBEsol-relaxed geometry. Values from VASP.

```
&SYSTEM
  ibrav = 0, nat = 4, ntyp = 3
/
ATOMIC_SPECIES
Zr 91.22 Zr.upf
Mn 54.94 Mn.upf
Mo 95.94 Mo.upf
CELL_PARAMETERS angstrom
4.298 0.000 0.000
0.000 4.298 0.000
0.000 0.000 3.028
ATOMIC_POSITIONS angstrom
Zr 0.000 0.000 0.000
Mn 0.000 2.149 1.514
Mn 2.149 0.000 1.514
Mo 2.149 2.149 0.000
```

Preferred: 2; penalty for the next structure: 453 meV per atom.

1:
## MnReN2 (meta-GGA SCAN)

Data for MnReN2 at its PBEsol-relaxed geometry. Values from VASP.

```
&SYSTEM
  ibrav = 0, nat = 12, ntyp = 3
/
ATOMIC_SPECIES
Mn 54.94 Mn.upf
Re 186.21 Re.upf
N 14.01 N.upf
CELL_PARAMETERS angstrom
2.648 0.000 0.000
-1.324 2.293 0.000
0.000 0.000 19.157
ATOMIC_POSITIONS angstrom
Mn 0.000 0.000 0.000
Mn 0.000 1.529 12.771
Mn 1.324 0.764 6.386
Re 0.000 0.000 9.578
Re 0.000 1.529 3.193
Re 1.324 0.764 15.964
N 0.000 0.000 7.579
N 0.000 0.000 11.578
N 0.000 1.529 1.193
N 0.000 1.529 5.192
N 1.324 0.764 13.964
N 1.324 0.764 17.963
```

2:
## MnReN2 (meta-GGA SCAN)

Data for MnReN2 at its PBEsol-relaxed geometry. Values from VASP.

```
&SYSTEM
  ibrav = 0, nat = 16, ntyp = 3
/
ATOMIC_SPECIES
Mn 54.94 Mn.upf
Re 186.21 Re.upf
N 14.01 N.upf
CELL_PARAMETERS angstrom
5.030 0.000 0.000
0.000 5.978 0.000
0.000 0.000 5.342
ATOMIC_POSITIONS angstrom
Mn 0.356 0.684 0.000
Mn 2.158 3.673 2.671
Mn 2.871 2.305 0.000
Mn 4.673 5.294 2.671
Re 0.615 4.018 4.737
Re 1.900 1.029 2.066
Re 3.130 4.948 4.737
Re 4.415 1.960 2.066
N 0.305 3.507 2.847
N 0.399 0.809 3.428
N 2.116 3.798 0.757
N 2.210 0.518 0.176
N 2.820 5.460 2.847
N 2.914 2.180 3.428
N 4.631 5.169 0.757
N 4.725 2.471 0.176
```

Preferred: 2; penalty for the next structure: 141 meV per atom.

1:
## MnTe2N2 (meta-GGA SCAN)

Data for MnTe2N2 at its PBEsol-relaxed geometry. Values from VASP.

```
&SYSTEM
  ibrav = 0, nat = 10, ntyp = 3
/
ATOMIC_SPECIES
Mn 54.94 Mn.upf
Te 127.60 Te.upf
N 14.01 N.upf
CELL_PARAMETERS angstrom
3.793 0.000 0.000
0.000 3.793 0.000
0.000 0.000 11.220
ATOMIC_POSITIONS angstrom
Mn 0.000 0.000 0.000
Mn 1.896 1.896 5.610
Te 0.000 0.000 3.937
Te 0.000 0.000 7.283
Te 1.896 1.896 1.673
Te 1.896 1.896 9.547
N 0.000 1.896 2.805
N 0.000 1.896 8.415
N 1.896 0.000 2.805
N 1.896 0.000 8.415
```

2:
## MnTe2N2 (meta-GGA SCAN)

Data for MnTe2N2 at its PBEsol-relaxed geometry. Values from VASP.

```
&SYSTEM
  ibrav = 0, nat = 5, ntyp = 3
/
ATOMIC_SPECIES
Mn 54.94 Mn.upf
Te 127.60 Te.upf
N 14.01 N.upf
CELL_PARAMETERS angstrom
4.906 0.000 0.000
0.000 4.906 0.000
0.000 0.000 3.369
ATOMIC_POSITIONS angstrom
Mn 0.000 0.000 0.000
Te 0.000 2.453 0.000
Te 2.453 0.000 0.000
N 0.000 0.000 1.685
N 2.453 2.453 1.685
```

Preferred: 2; penalty for the next structure: 25 meV per atom.

1:
## NaMnO2 (meta-GGA SCAN)

Data for NaMnO2 at its PBEsol-relaxed geometry. Values from VASP.

```
&SYSTEM
  ibrav = 0, nat = 16, ntyp = 3
/
ATOMIC_SPECIES
Na 22.99 Na.upf
Mn 54.94 Mn.upf
O 16.00 O.upf
CELL_PARAMETERS angstrom
5.468 0.000 0.000
0.000 5.468 0.000
0.000 0.000 6.527
ATOMIC_POSITIONS angstrom
Na 0.000 0.000 0.000
Na 0.000 2.734 1.632
Na 2.734 0.000 4.895
Na 2.734 2.734 3.263
Mn 0.000 0.000 3.263
Mn 0.000 2.734 4.895
Mn 2.734 0.000 1.632
Mn 2.734 2.734 0.000
O 0.999 4.101 4.079
O 1.367 0.999 2.447
O 1.367 1.735 5.711
O 1.735 4.101 0.816
O 3.733 1.367 0.816
O 4.101 3.733 5.711
O 4.101 4.469 2.447
O 4.469 1.367 4.079
```

2:
## NaMnO2 (meta-GGA SCAN)

Data for NaMnO2 at its PBEsol-relaxed geometry. Values from VASP.

```
&SYSTEM
  ibrav = 0, nat = 8, ntyp = 3
/
ATOMIC_SPECIES
Na 22.99 Na.upf
Mn 54.94 Mn.upf
O 16.00 O.upf
CELL_PARAMETERS angstrom
2.847 0.000 0.000
0.000 4.840 0.000
0.000 0.000 6.294
ATOMIC_POSITIONS angstrom
Na 0.712 1.210 0.787
Na 2.135 3.630 5.507
Mn 0.712 1.210 3.934
Mn 2.135 3.630 2.361
O 0.712 3.630 1.083
O 0.712 3.630 3.656
O 2.135 1.210 2.638
O 2.135 1.210 5.211
```

3:
## NaMnO2 (meta-GGA SCAN)

Data for NaMnO2 at its PBEsol-relaxed geometry. Values from VASP.

```
&SYSTEM
  ibrav = 0, nat = 16, ntyp = 3
/
ATOMIC_SPECIES
Na 22.99 Na.upf
Mn 54.94 Mn.upf
O 16.00 O.upf
CELL_PARAMETERS angstrom
2.844 0.000 0.000
0.000 5.684 0.000
0.000 0.000 10.743
ATOMIC_POSITIONS angstrom
Na 0.000 1.146 2.686
Na 0.000 4.539 8.058
Na 1.422 1.696 8.058
Na 1.422 3.988 2.686
Mn 0.000 2.842 0.000
Mn 0.000 2.842 5.372
Mn 1.422 0.000 0.000
Mn 1.422 0.000 5.372
O 0.000 0.676 6.470
O 0.000 0.676 9.645
O 0.000 5.009 1.098
O 0.000 5.009 4.274
O 1.422 2.166 1.098
O 1.422 2.166 4.274
O 1.422 3.518 6.470
O 1.422 3.518 9.645
```

Preferred: 2; penalty for the next structure: 12 meV per atom.

1:
## NaMnO2 (meta-GGA SCAN)

Data for NaMnO2 at its PBEsol-relaxed geometry. Values from VASP.

```
&SYSTEM
  ibrav = 0, nat = 8, ntyp = 3
/
ATOMIC_SPECIES
Na 22.99 Na.upf
Mn 54.94 Mn.upf
O 16.00 O.upf
CELL_PARAMETERS angstrom
5.715 0.000 0.000
0.000 2.849 0.000
-2.330 0.000 5.310
ATOMIC_POSITIONS angstrom
Na 0.000 0.000 0.000
Na 2.858 1.424 0.000
Mn -1.165 1.424 2.655
Mn 1.693 0.000 2.655
O -0.491 0.000 3.751
O 1.019 1.424 1.559
O 2.367 1.424 3.751
O 3.876 0.000 1.559
```

2:
## NaMnO2 (meta-GGA SCAN)

Data for NaMnO2 at its PBEsol-relaxed geometry. Values from VASP.

```
&SYSTEM
  ibrav = 0, nat = 16, ntyp = 3
/
ATOMIC_SPECIES
Na 22.99 Na.upf
Mn 54.94 Mn.upf
O 16.00 O.upf
CELL_PARAMETERS angstrom
-2.967 2.967 4.831
2.967 -2.967 4.831
2.967 2.967 -4.831
ATOMIC_POSITIONS angstrom
Na 0.000 0.000 0.000
Na 1.483 1.483 -2.416
Na 1.483 -1.483 2.416
Na 0.000 2.967 0.000
Mn 2.967 0.000 0.000
Mn -1.483 1.483 2.416
Mn 0.000 0.000 4.831
Mn 1.483 1.483 2.416
O 1.721 1.483 0.010
O 4.212 1.483 0.010
O 2.967 0.238 2.405
O 0.000 0.238 2.426
O 2.967 2.729 2.405
O 0.000 2.729 2.426
O -1.246 1.483 4.821
O 1.246 1.483 4.821
```

Preferred: 1; penalty for the next structure: 35 meV per atom.